# Si23Se4 (PBE-GGA, relaxed)
# Formation energy without anion corrections: 6.2 eV/f.u.
# Uncorrected energy: -265.0 eV for the cell shown
# Calculated volume: 1049 Å³ per cell
# Total moment: 1.19 Bohr magnetons per cell
data_Si23Se4
_cell_length_a 10.161
_cell_length_b 10.161
_cell_length_c 10.161
_cell_angle_alpha 90.00
_cell_angle_beta 90.00
_cell_angle_gamma 90.00
_symmetry_space_group_name_H-M 'P m -3 n'
_symmetry_Int_Tables_number 223
_symmetry_space_group_name_Hall '-P 4n 2 3'
loop_
_atom_site_label
_atom_site_fract_x
_atom_site_fract_y
_atom_site_fract_z
Si1 0.000 0.116 0.312
Si2 0.000 0.250 0.500
Si3 0.182 0.182 0.182
Se1 0.000 0.000 0.000
Se2 0.000 0.500 0.250

# Si5Se3 (PBE-GGA, relaxed)
# Distance to the lowest polymorph of the same formula: 0 kJ/mol of formula units
# Formation energy without anion corrections: 1.4 eV/f.u.
# Uncorrected energy: -72.4 eV for the cell shown
# Calculated volume: 380 Å³ per cell
# Total moment: 0.00 Bohr magnetons per cell
data_Si5Se3
_cell_length_a 7.782
_cell_length_b 4.711
_cell_length_c 10.400
_cell_angle_alpha 90.00
_cell_angle_beta 94.34
_cell_angle_gamma 90.00
_symmetry_space_group_name_H-M 'P 1 m 1'
_symmetry_Int_Tables_number 6
loop_
_symmetry_equiv_pos_as_xyz
'x,y,z'
'x,-y,z'
loop_
_atom_site_label
_atom_site_fract_x
_atom_site_fract_y
_atom_site_fract_z
Si1 0.000 0.000 0.000
Si2 0.007 0.000 0.651
Si3 0.050 0.500 0.957
Si4 0.209 0.500 0.770
Si5 0.348 0.250 0.478
Si6 0.607 0.250 0.218
Si7 0.762 0.500 0.860
Si8 0.803 0.000 0.811
Se1 0.015 0.500 0.568
Se2 0.299 0.500 0.267
Se3 0.312 0.000 0.746
Se4 0.536 0.500 0.001
Se5 0.630 0.000 0.459
Se6 0.896 0.000 0.208

# SiSe2 (PBE-GGA, relaxed)
# Formation energy without anion corrections: 0.1 eV/f.u.
# Uncorrected energy: -24.6 eV for the cell shown
# Calculated volume: 202 Å³ per cell
# Total moment: 0.00 Bohr magnetons per cell
data_SiSe2
_cell_length_a 11.969
_cell_length_b 3.336
_cell_length_c 5.204
_cell_angle_alpha 90.00
_cell_angle_beta 103.49
_cell_angle_gamma 90.00
_symmetry_space_group_name_H-M 'C 1 2/m 1'
_symmetry_Int_Tables_number 12
loop_
_symmetry_equiv_pos_as_xyz
'x,y,z'
'-x,-y,-z'
'-x,y,-z'
'x,-y,z'
'x+1/2,y+1/2,z'
'-x+1/2,-y+1/2,-z'
'-x+1/2,y+1/2,-z'
'x+1/2,-y+1/2,z'
loop_
_atom_site_label
_atom_site_fract_x
_atom_site_fract_y
_atom_site_fract_z
Si1 0.000 0.000 0.000
Se1 0.130 0.500 0.202

# SiSe2 (PBE-GGA, relaxed)
# Formation energy without anion corrections: 0.3 eV/f.u.
# Uncorrected energy: -48.5 eV for the cell shown
# Calculated volume: 286 Å³ per cell
# Total moment: 0.00 Bohr magnetons per cell
data_SiSe2
_cell_length_a 10.655
_cell_length_b 8.195
_cell_length_c 3.281
_cell_angle_alpha 90.00
_cell_angle_beta 90.00
_cell_angle_gamma 90.00
_symmetry_space_group_name_H-M 'C m c m'
_symmetry_Int_Tables_number 63
_symmetry_space_group_name_Hall '-C 2c 2'
loop_
_atom_site_label
_atom_site_fract_x
_atom_site_fract_y
_atom_site_fract_z
Si1 0.000 0.131 0.250
Se1 0.136 0.276 0.750

Which formula does entry 3 have? SiSe2

Which of these has the lowest uncorrected energy? Si23Se4

What is the calculated volume in the first record? 1049 Å³ per cell